# 1
Material: NdGa2Ag
Method: DFT, PBE-GGA
State: relaxed

Output
Total DFT energy (no corrections) = -3.857 eV per atom
Spin magnetization = 0.000 μB/f.u.
Energy relative to the elements = -438.5 meV/atom
Volume = 21.8 Å³/atom

a = 4.4294 Å, b = 4.4294 Å, c = 5.7438 Å
α = 67.32°, β = 67.32°, γ = 60.00°
Element x y z (fractional)
Nd 0.0000 0.0000 0.0000
Ga 0.7818 0.7818 0.6546
Ga 0.2182 0.2182 0.3454
Ag 0.5000 0.5000 0.5000

=====

# 2
Material: NdGaAg4
Method: DFT, PBE-GGA
State: relaxed

Output
Total DFT energy (no corrections) = -3.369 eV per atom
Spin magnetization = 0.000 μB/f.u.
Energy relative to the elements = -168.6 meV/atom
Volume = 20.7 Å³/atom

a = 5.5989 Å, b = 5.5989 Å, c = 5.5989 Å
α = 60.00°, β = 60.00°, γ = 60.00°
Element x y z (fractional)
Nd 0.2500 0.2500 0.2500
Ga 0.0000 0.0000 0.0000
Ag 0.6253 0.6253 0.1240
Ag 0.6253 0.1240 0.6253
Ag 0.6253 0.6253 0.6253
Ag 0.1240 0.6253 0.6253

=====

# 3
Material: Nd4GaAg3
Method: DFT, PBE-GGA
State: relaxed

Output
Total DFT energy (no corrections) = -4.165 eV per atom
Spin magnetization = 0.001 μB/f.u.
Energy relative to the elements = -333.9 meV/atom
Volume = 26.1 Å³/atom

a = 3.7033 Å, b = 3.7033 Å, c = 15.2486 Å
α = 90.00°, β = 90.00°, γ = 90.00°
Element x y z (fractional)
Nd 0.0000 0.0000 0.8794
Nd 0.0000 0.0000 0.1206
Nd 0.0000 0.0000 0.3732
Nd 0.0000 0.0000 0.6268
Ag 0.5000 0.5000 0.2486
Ag 0.5000 0.5000 0.5000
Ag 0.5000 0.5000 0.7514
Ga 0.5000 0.5000 0.0000

=====

# 4
Material: Nd2Ga5Ag
Method: DFT, PBE-GGA
State: relaxed

Output
Total DFT energy (no corrections) = -3.890 eV per atom
Spin magnetization = 0.000 μB/f.u.
Energy relative to the elements = -449.3 meV/atom
Volume = 21.4 Å³/atom

a = 6.2506 Å, b = 6.2506 Å, c = 6.2506 Å
α = 89.24°, β = 120.44°, γ = 120.44°
Element x y z (fractional)
Nd 0.5000 0.2686 0.7686
Nd 0.5000 0.7686 0.2686
Ga 0.4454 0.7414 0.7414
Ga 0.0000 0.7414 0.2959
Ga 0.0000 0.2959 0.7414
Ga 0.5546 0.2959 0.2959
Ga 0.0000 0.2391 0.2391
Ag 0.0000 0.8712 0.8712

=====

# 5
Material: Nd6Ga2Ag
Method: DFT, PBE-GGA
State: relaxed

Output
Total DFT energy (no corrections) = -4.380 eV per atom
Spin magnetization = 0.000 μB/f.u.
Energy relative to the elements = -212.4 meV/atom
Volume = 29.9 Å³/atom

a = 6.4527 Å, b = 8.4952 Å, c = 9.8686 Å
α = 90.00°, β = 84.09°, γ = 90.00°
Element x y z (fractional)
Nd 0.8519 0.9476 0.2239
Nd 0.8593 0.6556 0.5579
Nd 0.8955 0.6981 0.9314
Nd 0.6045 0.1981 0.5686
Nd 0.6407 0.1556 0.9421
Nd 0.6481 0.4476 0.2761
Nd 0.1481 0.0524 0.7761
Nd 0.1407 0.3444 0.4421
Nd 0.1045 0.3019 0.0686
Nd 0.3955 0.8019 0.4314
Nd 0.3593 0.8444 0.0579
Nd 0.3519 0.5524 0.7239
Ga 0.9240 0.3789 0.7587
Ga 0.5760 0.8789 0.7413
Ga 0.4240 0.1211 0.2587
Ga 0.0760 0.6211 0.2413
Ag 0.5000 0.5000 0.0000
Ag 0.0000 0.0000 0.5000

=====

# 6
Material: Nd2Ga6Ag
Method: DFT, PBE-GGA
State: relaxed

Output
Total DFT energy (no corrections) = -3.701 eV per atom
Spin magnetization = 0.000 μB/f.u.
Energy relative to the elements = -306.9 meV/atom
Volume = 22.3 Å³/atom

a = 4.5172 Å, b = 6.1080 Å, c = 8.2172 Å
α = 111.82°, β = 105.95°, γ = 90.00°
Element x y z (fractional)
Nd 0.8900 0.8900 0.7800
Nd 0.1100 0.1100 0.2200
Ga 0.7022 0.9382 0.4044
Ga 0.2978 0.0618 0.5956
Ga 0.2978 0.5338 0.5956
Ga 0.5000 0.2644 0.0000
Ga 0.5000 0.7356 0.0000
Ga 0.7022 0.4662 0.4044
Ag 0.0000 0.5000 0.0000

=====

# 7
Material: Nd5GaAg4
Method: DFT, PBE-GGA
State: relaxed

Output
Total DFT energy (no corrections) = -4.147 eV per atom
Spin magnetization = 0.002 μB/f.u.
Energy relative to the elements = -319.8 meV/atom
Volume = 26.2 Å³/atom

a = 3.7255 Å, b = 3.7255 Å, c = 18.8679 Å
α = 90.00°, β = 90.00°, γ = 90.00°
Element x y z (fractional)
Nd 0.5000 0.5000 0.0960
Nd 0.5000 0.5000 0.2980
Nd 0.5000 0.5000 0.5000
Nd 0.5000 0.5000 0.7020
Nd 0.5000 0.5000 0.9040
Ga 0.0000 0.0000 0.0000
Ag 0.0000 0.0000 0.1979
Ag 0.0000 0.0000 0.3998
Ag 0.0000 0.0000 0.6002
Ag 0.0000 0.0000 0.8021

=====

# 8
Material: Nd2Ga3Ag5
Method: DFT, PBE-GGA
State: relaxed

Output
Total DFT energy (no corrections) = -3.579 eV per atom
Spin magnetization = 0.000 μB/f.u.
Energy relative to the elements = -292.0 meV/atom
Volume = 21.3 Å³/atom

a = 6.0551 Å, b = 8.9117 Å, c = 8.9117 Å
α = 82.92°, β = 70.14°, γ = 70.14°
Element x y z (fractional)
Nd 0.1305 0.6052 0.1338
Nd 0.6305 0.1338 0.6052
Nd 0.8695 0.3948 0.8662
Nd 0.3695 0.8662 0.3948
Ga 0.3701 0.4974 0.7624
Ga 0.8701 0.7624 0.4974
Ga 0.6299 0.5026 0.2376
Ga 0.1299 0.2376 0.5026
Ga 0.2500 0.0000 0.0000
Ga 0.7500 0.0000 0.0000
Ag 0.3910 0.2594 0.9586
Ag 0.8910 0.9586 0.2594
Ag 0.6090 0.7406 0.0414
Ag 0.1090 0.0414 0.7406
Ag 0.4935 0.7565 0.7565
Ag 0.5065 0.2435 0.2435
Ag 0.7500 0.5000 0.5000
Ag 0.2500 0.5000 0.5000
Ag 0.0065 0.2435 0.2435
Ag 0.9935 0.7565 0.7565

=====

Question: Among the records above, which one has the lowest energy relative to the elements?
Answer: Nd2Ga5Ag